(1)
## SiMoIr2 (PBE-GGA)

Data for SiMoIr2 after structural relaxation.

a = 5.181 Å, b = 5.181 Å, c = 5.181 Å
α = 147.83°, β = 129.11°, γ = 61.49°
Fractional positions:
Ir 0.971 0.971 0.000
Ir 0.529 0.529 0.000
Si 0.750 0.250 0.500
Mo 0.250 0.750 0.500

Values from the calculation:
SG	Immm (71)



(2)
## SiMoIr3 (PBE-GGA)

Data for SiMoIr3 after structural relaxation.

a = 4.726 Å, b = 4.726 Å, c = 4.726 Å
α = 90.00°, β = 90.00°, γ = 90.00°
Fractional positions:
Ir 0.000 0.500 0.000
Ir 0.000 0.000 0.500
Ir 0.500 0.000 0.000
Si 0.500 0.500 0.500
Mo 0.000 0.000 0.000

Values from the calculation:
SG	Pm-3m (221)



Calculated mass density in order - 14.84; 11.02 Mg/m³
Calculated ΔE_f (raw) in order - -332; 1751 meV/atom